(1)
Crystalline U3HSe3 at its relaxed geometry, computed with PBE-GGA.

Cell: 7.1151 7.1151 6.5292 Å, 95.32 95.32 112.89°
Closest atoms and distances in Å follow each position.
Sites, in units of the cell vectors:
U  0.1014  0.1014  0.3770  2 H 2.13-2.27
U  0.1507  0.4709  0.8029  1 H 2.17
U  0.4709  0.1507  0.8029  1 H 2.17
U  0.5291  0.8493  0.1971  1 H 2.17
U  0.8493  0.5291  0.1971  1 H 2.17
U  0.8986  0.8986  0.6230  2 H 2.13-2.27
H  0.1903  0.1903  0.7035  4 U 2.13-2.27
H  0.8097  0.8097  0.2965  4 U 2.13-2.27
Se  0.1451  0.8549  0.0000  6 U 2.93-3.00, 2 H 3.15
Se  0.2328  0.7672  0.5000  6 U 2.95-3.02
Se  0.3972  0.3972  0.1817  5 U 2.84-3.10, 1 Se 3.09
Se  0.6028  0.6028  0.8183  5 U 2.84-3.10, 1 Se 3.09
Se  0.7672  0.2328  0.5000  6 U 2.95-3.02
Se  0.8549  0.1451  0.0000  6 U 2.93-3.00, 2 H 3.15

Summary:
Crystal system: monoclinic
Calculated volume (Å³/cell): 300

---

(2)
Crystalline UH2Se2 at its relaxed geometry, computed with PBE-GGA.

Cell: 3.8739 3.8739 25.7207 Å, 90.00 90.00 120.00°
Closest atoms and distances in Å follow each position.
Sites, in units of the cell vectors:
U  0.0000  0.0000  0.0000  6 Se 2.79
U  0.3333  0.6667  0.6667  6 Se 2.79
U  0.6667  0.3333  0.3333  6 Se 2.79
H  0.0000  0.0000  0.1661  3 H 2.24
H  0.0000  0.0000  0.8339  3 H 2.24
H  0.3333  0.6667  0.5006  3 H 2.24
H  0.3333  0.6667  0.8328  3 H 2.24
H  0.6667  0.3333  0.1672  3 H 2.24
H  0.6667  0.3333  0.4994  3 H 2.24
Se  0.0000  0.0000  0.3980  3 U 2.79
Se  0.0000  0.0000  0.6020  3 U 2.79
Se  0.3333  0.6667  0.0646  3 U 2.79
Se  0.3333  0.6667  0.2687  3 U 2.79
Se  0.6667  0.3333  0.7313  3 U 2.79
Se  0.6667  0.3333  0.9354  3 U 2.79

Summary:
Crystal system: trigonal
Calculated volume (Å³/cell): 334

---

(3)
Crystalline UH2Se3 at its relaxed geometry, computed with PBE-GGA.

Cell: 13.0077 4.8521 3.6914 Å, 90.00 106.36 90.00°
Closest atoms and distances in Å follow each position.
Sites, in units of the cell vectors:
U  0.0000  0.0000  0.0000  4 H 2.17
U  0.5000  0.5000  0.0000  4 H 2.17
H  0.0911  0.0000  0.5906  2 U 2.17, 1 H 2.27
H  0.4089  0.5000  0.4094  2 U 2.17, 1 H 2.27
H  0.5911  0.5000  0.5906  2 U 2.17, 1 H 2.27
H  0.9089  0.0000  0.4094  2 U 2.17, 1 H 2.27
Se  0.0000  0.5000  0.5000  4 Se 2.65, 4 H 2.68
Se  0.1526  0.5000  0.1516  2 Se 2.65
Se  0.3474  0.0000  0.8484  2 Se 2.65
Se  0.5000  0.0000  0.5000  4 Se 2.65, 4 H 2.68
Se  0.6526  0.0000  0.1516  2 Se 2.65
Se  0.8474  0.5000  0.8484  2 Se 2.65

Summary:
Crystal system: monoclinic
Calculated volume (Å³/cell): 224

---

(4)
Crystalline UHSe2 at its relaxed geometry, computed with PBE-GGA.

Cell: 4.0813 4.0813 20.4972 Å, 90.00 90.00 120.00°
Closest atoms and distances in Å follow each position.
Sites, in units of the cell vectors:
U  0.0000  0.0000  0.0000  6 Se 2.88
U  0.3333  0.6667  0.6667  6 Se 2.88
U  0.6667  0.3333  0.3333  6 Se 2.88
H  0.0000  0.0000  0.5000  2 Se 1.76
H  0.3333  0.6667  0.1667  2 Se 1.76
H  0.6667  0.3333  0.8333  2 Se 1.76
Se  0.0000  0.0000  0.4143  1 H 1.76
Se  0.0000  0.0000  0.5857  1 H 1.76
Se  0.3333  0.6667  0.0810  1 H 1.76
Se  0.3333  0.6667  0.2524  1 H 1.76
Se  0.6667  0.3333  0.7476  1 H 1.76
Se  0.6667  0.3333  0.9190  1 H 1.76

Summary:
Crystal system: trigonal
Calculated volume (Å³/cell): 296

---

(5)
Crystalline U3HSe6 at its relaxed geometry, computed with PBE-GGA.

Cell: 8.6904 8.6904 6.8439 Å, 90.00 90.00 101.72°
Closest atoms and distances in Å follow each position.
Sites, in units of the cell vectors:
U  0.0991  0.9009  0.5000  7 Se 2.81-2.92
U  0.2217  0.4237  0.6216  7 Se 2.85-2.99
U  0.4237  0.2217  0.1216  7 Se 2.85-2.99
U  0.5763  0.7783  0.6216  7 Se 2.85-2.99
U  0.7783  0.5763  0.1216  7 Se 2.85-2.99
U  0.9009  0.0991  0.0000  7 Se 2.81-2.92
H  0.2516  0.7484  0.0014  1 Se 1.51
H  0.7484  0.2516  0.5014  1 Se 1.51
Se  0.0571  0.5953  0.3462  3 U 2.81-2.95, 1 H 3.05
Se  0.1246  0.2033  0.3100  4 U 2.88-2.90
Se  0.2033  0.1246  0.8100  4 U 2.88-2.90
Se  0.2618  0.7382  0.7821  1 H 1.51
Se  0.4047  0.9429  0.3462  3 U 2.81-2.95, 1 H 3.05
Se  0.4817  0.5183  0.3557  4 U 2.89-2.99
Se  0.5183  0.4817  0.8557  4 U 2.89-2.99
Se  0.5953  0.0571  0.8462  3 U 2.81-2.95, 1 H 3.05
Se  0.7382  0.2618  0.2821  1 H 1.51
Se  0.7967  0.8754  0.3100  4 U 2.88-2.90
Se  0.8754  0.7967  0.8100  4 U 2.88-2.90
Se  0.9429  0.4047  0.8462  3 U 2.81-2.95, 1 H 3.05

Summary:
Crystal system: orthorhombic
Calculated volume (Å³/cell): 506

---

(6)
Crystalline U2HSe3 at its relaxed geometry, computed with PBE-GGA.

Cell: 10.9837 3.8891 11.3445 Å, 90.00 90.00 90.00°
Closest atoms and distances in Å follow each position.
Sites, in units of the cell vectors:
U  0.0340  0.2500  0.1798  2 H 2.27
U  0.1962  0.2500  0.5208  1 H 2.29
U  0.3038  0.7500  0.0208  1 H 2.29
U  0.4660  0.7500  0.6798  2 H 2.27
U  0.5340  0.2500  0.3202  2 H 2.27
U  0.6962  0.2500  0.9792  1 H 2.29
U  0.8038  0.7500  0.4792  1 H 2.29
U  0.9660  0.7500  0.8202  2 H 2.27
H  0.1266  0.7500  0.1271  3 U 2.27-2.29
H  0.3734  0.2500  0.6271  3 U 2.27-2.29
H  0.6266  0.7500  0.3729  3 U 2.27-2.29
H  0.8734  0.2500  0.8729  3 U 2.27-2.29
Se  0.0574  0.7500  0.3754  1 H 2.92, 5 U 2.96-3.02
Se  0.1229  0.2500  0.9403  3 H 2.85-2.88, 5 U 2.89-2.93
Se  0.2075  0.7500  0.7069  2 H 2.81, 4 U 2.86-2.95
Se  0.2925  0.2500  0.2069  2 H 2.81, 4 U 2.86-2.95
Se  0.3771  0.7500  0.4403  3 H 2.85-2.88, 5 U 2.89-2.93
Se  0.4426  0.2500  0.8754  1 H 2.92, 5 U 2.96-3.02
Se  0.5574  0.7500  0.1246  1 H 2.92, 5 U 2.96-3.02
Se  0.6229  0.2500  0.5597  3 H 2.85-2.88, 5 U 2.89-2.93
Se  0.7075  0.7500  0.7931  2 H 2.81, 4 U 2.86-2.95
Se  0.7925  0.2500  0.2931  2 H 2.81, 4 U 2.86-2.95
Se  0.8771  0.7500  0.0597  3 H 2.85-2.88, 5 U 2.89-2.93
Se  0.9426  0.2500  0.6246  1 H 2.92, 5 U 2.96-3.02

Summary:
Crystal system: orthorhombic
Calculated volume (Å³/cell): 485

---

(7)
Crystalline U3HSe5 at its relaxed geometry, computed with PBE-GGA.

Cell: 7.6094 7.6094 9.2187 Å, 102.76 102.76 76.43°
Closest atoms and distances in Å follow each position.
Sites, in units of the cell vectors:
U  0.0000  0.0000  0.0000  2 H 2.54, 4 Se 2.76-2.79
U  0.0000  0.0000  0.5000  2 H 2.39
U  0.2850  0.2850  0.4072  1 H 2.44
U  0.3400  0.3400  0.8399  6 Se 2.70-2.87
U  0.6600  0.6600  0.1601  6 Se 2.70-2.87
U  0.7150  0.7150  0.5928  1 H 2.44
H  0.0753  0.0753  0.2862  3 U 2.39-2.54
H  0.9247  0.9247  0.7138  3 U 2.39-2.54
Se  0.0002  0.3726  0.6280  4 U 2.82-3.15
Se  0.9998  0.6274  0.3720  4 U 2.82-3.15
Se  0.2402  0.2402  0.0807  3 U 2.76-2.91
Se  0.2964  0.7036  0.0000  3 U 2.79-2.81
Se  0.3726  0.0002  0.6280  4 U 2.82-3.15
Se  0.4860  0.4860  0.6639  3 U 2.70-2.99
Se  0.5140  0.5140  0.3361  3 U 2.70-2.99
Se  0.6274  0.9998  0.3720  4 U 2.82-3.15
Se  0.7036  0.2964  0.0000  3 U 2.79-2.81
Se  0.7598  0.7598  0.9193  3 U 2.76-2.91

Summary:
Crystal system: monoclinic
Calculated volume (Å³/cell): 498

---

(8)
Crystalline UHSe2 at its relaxed geometry, computed with PBE-GGA.

Cell: 6.6223 3.8233 7.2743 Å, 90.00 108.07 90.00°
Closest atoms and distances in Å follow each position.
Sites, in units of the cell vectors:
U  0.0000  0.0000  0.0000  3 H 2.21
U  0.5000  0.5000  0.0000  3 H 2.21
H  0.1667  0.5000  0.9999  3 U 2.21
H  0.6667  0.0000  0.9999  3 U 2.21
Se  0.2464  0.0000  0.7449  3 H 2.83, 3 U 2.83
Se  0.4202  0.0000  0.2552  3 U 2.83, 3 H 2.83
Se  0.7464  0.5000  0.7449  3 H 2.83, 3 U 2.83
Se  0.9202  0.5000  0.2552  3 U 2.83, 3 H 2.83

Summary:
Crystal system: monoclinic
Calculated volume (Å³/cell): 175

---

(9)
Crystalline U2H2Se at its relaxed geometry, computed with PBE-GGA.

Cell: 6.2742 6.2732 5.7236 Å, 62.87 62.85 54.28°
Closest atoms and distances in Å follow each position.
Sites, in units of the cell vectors:
U  0.0744  0.0744  0.6756  4 H 2.23-2.26
U  0.3244  0.3244  0.9256  4 H 2.23-2.26
U  0.6756  0.6756  0.0744  4 H 2.23-2.26
U  0.9256  0.9256  0.3244  4 H 2.23-2.26
H  0.0159  0.7341  0.7341  4 U 2.23-2.26, 1 H 2.28
H  0.2659  0.9841  0.9841  4 U 2.23-2.26, 1 H 2.28
H  0.7341  0.0159  0.0159  4 U 2.23-2.26, 1 H 2.28
H  0.9841  0.2659  0.2659  4 U 2.23-2.26, 1 H 2.28
Se  0.3750  0.3750  0.3750  6 U 2.88-2.90, 2 H 2.91
Se  0.6250  0.6250  0.6250  6 U 2.88-2.90, 2 H 2.91

Summary:
Crystal system: orthorhombic
Calculated volume (Å³/cell): 157

---

(10)
Crystalline UHSe2 at its relaxed geometry, computed with PBE-GGA.

Cell: 9.2017 9.1793 5.6560 Å, 90.00 90.00 90.00°
Closest atoms and distances in Å follow each position.
Sites, in units of the cell vectors:
U  0.0769  0.1328  0.0000  5 Se 2.80-2.96
U  0.4231  0.6328  0.5000  5 Se 2.80-2.96
U  0.5769  0.3672  0.0000  5 Se 2.80-2.96
U  0.9231  0.8672  0.5000  5 Se 2.80-2.96
H  0.0562  0.5663  0.7016  1 Se 1.51
H  0.4438  0.0663  0.2016  1 Se 1.51
H  0.5562  0.9337  0.7016  1 Se 1.51
H  0.9438  0.4337  0.2016  1 Se 1.51
Se  0.1007  0.1144  0.5000  3 U 2.80-2.84
Se  0.1038  0.6075  0.4557  1 H 1.51
Se  0.3962  0.1075  0.9557  1 H 1.51
Se  0.3993  0.6144  0.0000  3 U 2.80-2.84
Se  0.6007  0.3856  0.5000  3 U 2.80-2.84
Se  0.6038  0.8925  0.4557  1 H 1.51
Se  0.8962  0.3925  0.9557  1 H 1.51
Se  0.8993  0.8856  0.0000  3 U 2.80-2.84

Summary:
Crystal system: orthorhombic
Calculated volume (Å³/cell): 478

---

(11)
Crystalline VHSe at its relaxed geometry, computed with PBE-GGA.

Cell: 3.3078 4.1563 6.4527 Å, 93.82 90.08 90.00°
Closest atoms and distances in Å follow each position.
Sites, in units of the cell vectors:
V  0.2500  0.2374  0.0176  3 H 1.83-1.86
V  0.7500  0.7626  0.9824  3 H 1.83-1.86
H  0.2496  0.8497  0.8658  3 V 1.83-1.86
H  0.7504  0.1503  0.1342  3 V 1.83-1.86
Se  0.2507  0.7150  0.2702  3 V 2.48-2.50, 3 H 2.64-2.71
Se  0.7493  0.2850  0.7298  3 V 2.48-2.50, 3 H 2.64-2.71

Summary:
Crystal system: triclinic
Calculated volume (Å³/cell): 89

---

(12)
Crystalline VH2Se at its relaxed geometry, computed with PBE-GGA.

Cell: 2.8524 2.8524 18.4772 Å, 90.00 90.00 120.00°
Closest atoms and distances in Å follow each position.
Sites, in units of the cell vectors:
V  0.0000  0.0000  0.0000  2 H 1.74
V  0.3333  0.6667  0.6667  2 H 1.74
V  0.6667  0.3333  0.3333  2 H 1.74
H  0.0000  0.0000  0.0942  1 V 1.74
H  0.0000  0.0000  0.9058  1 V 1.74
H  0.3333  0.6667  0.5725  1 V 1.74
H  0.3333  0.6667  0.7608  1 V 1.74
H  0.6667  0.3333  0.2392  1 V 1.74
H  0.6667  0.3333  0.4275  1 V 1.74
Se  0.0000  0.0000  0.5000  6 H 2.12
Se  0.3333  0.6667  0.1667  6 H 2.12
Se  0.6667  0.3333  0.8333  6 H 2.12

Summary:
Crystal system: trigonal
Calculated volume (Å³/cell): 130

---

In order of appearance, electronic total energy = -7.526; -4.785; -4.946; -5.998; -6.741; -7.138; -6.865; -6.283; -7.001; -5.880; -5.748; -3.806 eV/atom.
In order of appearance, size of the total moment = 7.66; 1.84; 2.01; 3.00; 7.00; 4.97; 0.75; 1.00; 5.06; 3.00; 0.00; 0.00 μB/f.u..